# 1
A relaxed LiHoFeSe3 crystal. Source: OQMD, functional PBE.

uncorrected energy	-5.3504	eV/atom
total magnetic moment	0.617	μB per atom
crystal system	monoclinic

abc: 7.8292 3.9247 9.5461
angles: 90.00 101.99 90.00
Space group P2_1/m (No. 11)
Asymmetric unit:
Li 0.1692 0.2500 0.1353
Ho 0.3365 0.7500 0.8422
Fe 0.0677 0.2500 0.5847
Se 0.0715 0.2500 0.8426
Se 0.2406 0.7500 0.5328
Se 0.4050 0.7500 0.1505

# 2
A relaxed PuNbCd crystal. Source: OQMD, functional PBE.

DFT formation energy	1.1760	eV/atom
total magnetic moment	1.737	μB per atom
crystal system	cubic

abc: 6.5605 6.5605 6.5605
angles: 90.00 90.00 90.00
Space group F-43m (No. 216)
Asymmetric unit:
Pu 0.0000 0.0000 0.0000
Nb 0.2500 0.2500 0.2500
Cd 0.2500 0.2500 0.7500

# 3
A relaxed PmInNO crystal. Source: OQMD, functional PBE.

uncorrected energy	-6.3093	eV/atom
total magnetic moment	0.000	μB per atom
crystal system	tetragonal

abc: 4.0746 4.0746 8.1522
angles: 90.00 90.00 90.00
Space group P4/nmm (No. 129, origin choice 2)
Asymmetric unit:
Pm 0.2500 0.2500 0.1354
In 0.2500 0.7500 0.5000
N 0.2500 0.2500 0.6507
O 0.2500 0.7500 0.0000

# 4
A relaxed BW crystal. Source: OQMD, functional PBE.

uncorrected energy	-9.7330	eV/atom
total magnetic moment	0.000	μB per atom
crystal system	hexagonal

abc: 2.9675 2.9675 3.0217
angles: 90.00 90.00 120.00
Space group P-6m2 (No. 187)
Asymmetric unit:
B 0.0000 0.0000 0.0000
W 0.6667 0.3333 0.5000

# 5
A relaxed HfCuAsPt crystal. Source: OQMD, functional PBE.

uncorrected energy	-6.4331	eV/atom
total magnetic moment	0.000	μB per atom
crystal system	cubic

abc: 6.4545 6.4545 6.4545
angles: 90.00 90.00 90.00
Space group F-43m (No. 216)
Asymmetric unit:
Hf 0.0000 0.0000 0.0000
Cu 0.2500 0.2500 0.7500
As 0.0000 0.0000 0.5000
Pt 0.2500 0.2500 0.2500

# 6
A relaxed CuTe crystal. Source: OQMD, functional PBE.

uncorrected energy	-3.3517	eV/atom
crystal system	tetragonal

abc: 7.2005 7.2005 7.4313
angles: 90.00 90.00 90.00
Space group P4_2/m (No. 84)
Asymmetric unit:
Cu 0.0000 0.0000 0.2500
Cu 0.0000 0.5000 0.0000
Cu 0.2566 0.5338 0.5000
Te 0.1918 0.3117 0.2291

# 7
A relaxed Tl2Pd2Au crystal. Source: OQMD, functional PBE.

uncorrected energy	-3.5871	eV/atom
crystal system	tetragonal

abc: 4.0057 4.0057 13.3073
angles: 90.00 90.00 90.00
Space group I4/mmm (No. 139)
Asymmetric unit:
Tl 0.0000 0.0000 0.1078
Pd 0.0000 0.5000 0.2500
Au 0.0000 0.0000 0.5000

# 8
A relaxed DyScSn2Au2 crystal. Source: OQMD, functional PBE.

uncorrected energy	-5.0000	eV/atom
total magnetic moment	0.000	μB per atom
crystal system	trigonal

abc: 4.6441 4.6441 7.2563
angles: 90.00 90.00 120.00
Space group P3m1 (No. 156)
Asymmetric unit:
Dy 0.0000 0.0000 0.0000
Sc 0.0000 0.0000 0.4985
Sn 0.3333 0.6667 0.7180
Sn 0.6667 0.3333 0.2304
Au 0.3333 0.6667 0.3304
Au 0.6667 0.3333 0.8176